VASP calculation (GGA-PBE) on a relaxed structure of DyVSe2.

## Properties
- VASP energy (eV/atom) = -5.804
- raw formation energy (meV per atom) = -632
- space group = R-3m (166)

a b c (Å): 8.7021 8.7021 8.7021
angles (deg): 24.84 24.84 24.84
Element x y z (fractional)
Dy1 0.0000 0.0000 0.0000
V1 0.5000 0.5000 0.5000
Se1 0.1106 0.1106 0.1106
Se2 0.8894 0.8894 0.8894

VASP calculation (GGA-PBE) on a relaxed structure of Sc2TaRe.

## Properties
- VASP energy (eV/atom) = -9.251
- calculated formation energy (eV per formula unit) = -0.04
- space group = I-4m2 (119)

a b c (Å): 4.7040 4.7040 4.7040
angles (deg): 119.88 119.88 90.22
Element x y z (fractional)
Sc1 0.0000 0.0000 0.0000
Sc2 0.7500 0.2500 0.5000
Ta1 0.2500 0.7500 0.5000
Re1 0.5000 0.5000 0.0000

VASP calculation (GGA-PBE) on a relaxed structure of ScFe2BIr.

## Properties
- VASP energy (eV/atom) = -8.144
- calculated formation energy (eV per formula unit) = -1.92
- space group = P4/mmm (123)

a b c (Å): 3.9357 3.9357 4.1473
angles (deg): 90.00 90.00 90.00
Element x y z (fractional)
Sc1 0.0000 0.0000 0.0000
Fe1 0.0000 0.5000 0.5000
Fe2 0.5000 0.0000 0.5000
B1 0.5000 0.5000 0.5000
Ir1 0.5000 0.5000 0.0000

VASP calculation (GGA-PBE) on a relaxed structure of Pu2Ni5P2H2.

## Properties
- VASP energy (eV/atom) = -7.143
- space group = I4/mmm (139)

a b c (Å): 10.3978 10.3978 10.3978
angles (deg): 159.26 159.26 29.49
Element x y z (fractional)
Pu1 0.2030 0.2030 0.0000
Pu2 0.7970 0.7970 0.0000
Ni1 0.0000 0.0000 0.0000
Ni2 0.0812 0.5812 0.5000
Ni3 0.4188 0.9188 0.5000
Ni4 0.5812 0.0812 0.5000
Ni5 0.9188 0.4188 0.5000
P1 0.3534 0.3534 0.0000
P2 0.6466 0.6466 0.0000
H1 0.0805 0.0805 0.0000
H2 0.9195 0.9195 0.0000

VASP calculation (GGA-PBE) on a relaxed structure of DyCuGe.

## Properties
- VASP energy (eV/atom) = -4.813
- calculated formation energy (eV per formula unit) = -1.12
- space group = P-3m1 (164)

a b c (Å): 4.3076 4.3076 7.4894
angles (deg): 90.00 90.00 120.00
Element x y z (fractional)
Dy1 0.0000 0.0000 0.2362
Dy2 0.0000 0.0000 0.7638
Cu1 0.3333 0.6667 0.9960
Cu2 0.6667 0.3333 0.0040
Ge1 0.3333 0.6667 0.5270
Ge2 0.6667 0.3333 0.4730

VASP calculation (GGA-PBE) on a relaxed structure of La2Nd3Ho6.

## Properties
- VASP energy (eV/atom) = -4.511
- calculated formation energy (eV per formula unit) = 2.01
- space group = C2/m (12)

a b c (Å): 6.1712 6.1712 11.7300
angles (deg): 94.34 94.34 119.20
Element x y z (fractional)
La1 0.1765 0.8235 0.0000
La2 0.8235 0.1765 0.0000
Nd1 0.0000 0.0000 0.5000
Nd2 0.3360 0.6640 0.5000
Nd3 0.6640 0.3360 0.5000
Ho1 0.0735 0.4070 0.7470
Ho2 0.2606 0.2606 0.2488
Ho3 0.4070 0.0735 0.7470
Ho4 0.5930 0.9265 0.2530
Ho5 0.7394 0.7394 0.7512
Ho6 0.9265 0.5930 0.2530